## Cs4Rb2AgHg (PBE)

Data for a relaxed structure of Cs4Rb2AgHg.

The space group is P2/m (No. 10) and the conventional cell measures 9.2825, 5.2240 and 13.2436 Å, with angles of 90.00, 102.44 and 90.00 degrees. Symmetry generates all atoms from Cs at (0.2159, 0.0000, 0.1691), Cs at (0.2665, 0.5000, 0.8234), Rb at (0.0000, 0.0000, 0.5000), Rb at (0.5000, 0.5000, 0.5000), Ag at (0.0000, 0.5000, 0.0000) and Hg at (0.5000, 0.0000, 0.0000).

Its density of states at the Fermi level is 7.2 states/eV per cell. The formation energy comes out at -18 meV/atom.


## KTiIn (PBE)

Data for a relaxed structure of KTiIn.

The space group is Ima2 (No. 46) and the conventional cell measures 7.0161, 8.6577 and 5.3835 Å, with angles of 90.00, 90.00 and 90.00 degrees. Symmetry generates all atoms from K at (0.2500, 0.1386, 0.0000), Ti at (0.2500, 0.7500, 0.2470) and In at (0.0000, 0.0000, 0.4999).

Its density of states at the Fermi level is 12.3 states/eV per cell. The formation energy comes out at 369 meV/atom.


## CaNiAu (PBE)

Data for a relaxed structure of CaNiAu.

The space group is Fmmm (No. 69) and the conventional cell measures 4.9864, 11.9357 and 16.3103 Å, with angles of 90.00, 90.00 and 90.00 degrees. Symmetry generates all atoms from Ca at (0.0000, 0.1423, 0.1059), Ni at (0.0000, 0.0000, 0.4261), Ni at (0.0000, 0.1717, 0.5000) and Au at (0.0000, 0.1337, 0.2976).

Its density of states at the Fermi level is 31.0 states/eV per cell. The formation energy comes out at -233 meV/atom.


## DyY2In3 (PBE)

Data for a relaxed structure of DyY2In3.

The space group is P4/mmm (No. 123) and the conventional cell measures 3.7453, 3.7453 and 11.3893 Å, with angles of 90.00, 90.00 and 90.00 degrees. Symmetry generates all atoms from Dy at (0.0000, 0.0000, 0.0000), Y at (0.0000, 0.0000, 0.3330), In at (0.5000, 0.5000, 0.1660) and In at (0.5000, 0.5000, 0.5000).

Its density of states at the Fermi level is 3.3 states/eV per cell. The formation energy comes out at -487 meV/atom.


## AlInGa3 (PBE)

Data for a relaxed structure of AlInGa3.

The space group is Pm-3m (No. 221) and the conventional cell measures 5.2614, 5.2614 and 5.2614 Å, with angles of 90.00, 90.00 and 90.00 degrees. Symmetry generates all atoms from Al at (0.0000, 0.0000, 0.0000), In at (0.5000, 0.5000, 0.5000) and Ga at (0.0000, 0.5000, 0.5000).

Its density of states at the Fermi level is 4.5 states/eV per cell. The formation energy comes out at 673 meV/atom.


## Pr2ScGa2Rh5 (PBE)

Data for a relaxed structure of Pr2ScGa2Rh5.

The space group is P4/mbm (No. 127) and the conventional cell measures 10.1641, 10.1641 and 3.5509 Å, with angles of 90.00, 90.00 and 90.00 degrees. Symmetry generates all atoms from Pr at (0.1747, 0.3253, 0.0000), Sc at (0.0000, 0.0000, 0.0000), Ga at (0.1229, 0.6229, 0.0000), Rh at (0.0000, 0.5000, 0.5000) and Rh at (0.0668, 0.7912, 0.5000).

Its density of states at the Fermi level is 11.0 states/eV per cell. The formation energy comes out at -754 meV/atom.


## Pr2NdEr4 (PBE)

Data for a relaxed structure of Pr2NdEr4.

The space group is Cmcm (No. 63) and the conventional cell measures 6.7811, 12.0939 and 11.4536 Å, with angles of 90.00, 90.00 and 90.00 degrees. Symmetry generates all atoms from Pr at (0.0000, 0.0193, 0.2500), Pr at (0.0000, 0.3251, 0.2500), Nd at (0.0000, 0.3868, 0.7500), Er at (0.0000, 0.2209, 0.5289) and Er at (0.2208, 0.5000, 0.0000).

Its density of states at the Fermi level is 35.9 states/eV per cell. The formation energy comes out at 185 meV/atom.


## TmLuAlCu (PBE)

Data for a relaxed structure of TmLuAlCu.

The space group is F-43m (No. 216) and the conventional cell measures 6.9998, 6.9998 and 6.9998 Å, with angles of 90.00, 90.00 and 90.00 degrees. Symmetry generates all atoms from Tm at (0.0000, 0.0000, 0.0000), Lu at (0.0000, 0.0000, 0.5000), Al at (0.2500, 0.2500, 0.2500) and Cu at (0.2500, 0.2500, 0.7500).

Its density of states at the Fermi level is 13.1 states/eV per cell. The formation energy comes out at -311 meV/atom.


## ThTlCd4 (PBE)

Data for a relaxed structure of ThTlCd4.

The space group is F-43m (No. 216) and the conventional cell measures 8.4929, 8.4929 and 8.4929 Å, with angles of 90.00, 90.00 and 90.00 degrees. Symmetry generates all atoms from Th at (0.0000, 0.0000, 0.0000), Tl at (0.2500, 0.2500, 0.7500) and Cd at (0.1253, 0.1253, 0.3747).

Its density of states at the Fermi level is 12.5 states/eV per cell. The formation energy comes out at 13 meV/atom.


## K2NaMgHg (PBE)

Data for a relaxed structure of K2NaMgHg.

The space group is P4/mmm (No. 123) and the conventional cell measures 6.6448, 6.6448 and 5.6522 Å, with angles of 90.00, 90.00 and 90.00 degrees. Symmetry generates all atoms from K at (0.0000, 0.5000, 0.0000), Na at (0.0000, 0.0000, 0.0000), Mg at (0.5000, 0.5000, 0.5000) and Hg at (0.0000, 0.0000, 0.5000).

Its density of states at the Fermi level is 3.8 states/eV per cell. The formation energy comes out at 259 meV/atom.


## CeCd5Hg6 (PBE)

Data for a relaxed structure of CeCd5Hg6.

The space group is C2/m (No. 12) and the conventional cell measures 4.7738, 14.6497 and 8.3618 Å, with angles of 90.00, 90.78 and 90.00 degrees. Symmetry generates all atoms from Ce at (0.0000, 0.0000, 0.0000), Cd at (0.0000, 0.0000, 0.5000), Cd at (0.0000, 0.3303, 0.5000), Cd at (0.0000, 0.3317, 0.0000), Hg at (0.0008, 0.1685, 0.2525) and Hg at (0.0026, 0.5000, 0.2659).

Its density of states at the Fermi level is 19.2 states/eV per cell. The formation energy comes out at -95 meV/atom.


## PrAl2Zn (PBE)

Data for a relaxed structure of PrAl2Zn.

The space group is Pnma (No. 62) and the conventional cell measures 7.1932, 4.3760 and 10.8759 Å, with angles of 90.00, 90.00 and 90.00 degrees. Symmetry generates all atoms from Pr at (0.1735, 0.2500, 0.1430), Al at (0.0094, 0.7500, 0.3673), Al at (0.2202, 0.2500, 0.4364) and Zn at (0.1308, 0.2500, 0.8494).

Its density of states at the Fermi level is 8.0 states/eV per cell. The formation energy comes out at -396 meV/atom.


## NdErN2 (PBE)

Data for a relaxed structure of NdErN2.

The space group is R3m (No. 160, hexagonal axes) and the conventional cell measures 3.4817, 3.4817 and 18.1551 Å, with angles of 90.00, 90.00 and 120.00 degrees. Symmetry generates all atoms from Nd at (0.0000, 0.0000, 0.0000), Er at (0.0000, 0.0000, 0.8295), N at (0.0000, 0.0000, 0.4112) and N at (0.0000, 0.0000, 0.5717).

The uncorrected formation energy comes out at -1281 meV per atom.


## NdDyHoTh (PBE)

Data for a relaxed structure of NdDyHoTh.

The space group is F-43m (No. 216) and the conventional cell measures 8.0565, 8.0565 and 8.0565 Å, with angles of 90.00, 90.00 and 90.00 degrees. Symmetry generates all atoms from Nd at (0.0000, 0.0000, 0.0000), Dy at (0.2500, 0.2500, 0.2500), Ho at (0.2500, 0.2500, 0.7500) and Th at (0.0000, 0.0000, 0.5000).

Its density of states at the Fermi level is 34.5 states/eV per cell. The formation energy comes out at 141 meV/atom.


## BaCeCu2S4 (PBE)

Data for a relaxed structure of BaCeCu2S4.

The space group is I222 (No. 23) and the conventional cell measures 6.5614, 7.3390 and 8.2024 Å, with angles of 90.00, 90.00 and 90.00 degrees. Symmetry generates all atoms from Ba at (0.0000, 0.0000, 0.0000), Ce at (0.0000, 0.0000, 0.5000), Cu at (0.0000, 0.5000, 0.1597) and S at (0.2468, 0.1894, 0.3064).

Its density of states at the Fermi level is 3.5 states/eV per cell. The uncorrected formation energy comes out at -1174 meV per atom.


## MgSb2W (PBE)

Data for a relaxed structure of MgSb2W.

The space group is Pmmm (No. 47) and the conventional cell measures 3.7320, 4.2858 and 5.2644 Å, with angles of 90.00, 90.00 and 90.00 degrees. Symmetry generates all atoms from Mg at (0.0000, 0.0000, 0.0000), Sb at (0.0000, 0.5000, 0.5000), Sb at (0.5000, 0.5000, 0.0000) and W at (0.5000, 0.0000, 0.5000).

Its density of states at the Fermi level is 3.3 states/eV per cell. The uncorrected formation energy comes out at 606 meV per atom.


## PaMnNiGe2 (PBE)

Data for a relaxed structure of PaMnNiGe2.

The space group is I-4m2 (No. 119) and the conventional cell measures 4.0223, 4.0223 and 10.0261 Å, with angles of 90.00, 90.00 and 90.00 degrees. Symmetry generates all atoms from Pa at (0.0000, 0.0000, 0.0000), Mn at (0.0000, 0.5000, 0.2500), Ni at (0.0000, 0.5000, 0.7500) and Ge at (0.0000, 0.0000, 0.3733).

Its density of states at the Fermi level is 7.9 states/eV per cell. The formation energy comes out at -403 meV/atom.


## MgCrSb (PBE)

Data for a relaxed structure of MgCrSb.

The space group is C2/m (No. 12) and the conventional cell measures 9.5756, 4.3885 and 6.2557 Å, with angles of 90.00, 98.83 and 90.00 degrees. Symmetry generates all atoms from Mg at (0.1205, 0.0000, 0.2501), Cr at (0.0897, 0.5000, 0.9526) and Sb at (0.1714, 0.0000, 0.7329).

Its density of states at the Fermi level is 8.9 states/eV per cell. The uncorrected formation energy comes out at 157 meV per atom.


## VCu2Rh (PBE)

Data for a relaxed structure of VCu2Rh.

The space group is Fm-3m (No. 225) and the conventional cell measures 5.9318, 5.9318 and 5.9318 Å, with angles of 90.00, 90.00 and 90.00 degrees. Symmetry generates all atoms from V at (0.0000, 0.0000, 0.0000), Cu at (0.2500, 0.2500, 0.2500) and Rh at (0.0000, 0.0000, 0.5000).

Its density of states at the Fermi level is 20.4 states/eV per cell. The formation energy comes out at 96 meV/atom.


## Pu5Ga2Ge (PBE)

Data for a relaxed structure of Pu5Ga2Ge.

The space group is I4/mcm (No. 140) and the conventional cell measures 7.7122, 7.7122 and 12.9221 Å, with angles of 90.00, 90.00 and 90.00 degrees. Symmetry generates all atoms from Pu at (0.0000, 0.0000, 0.0000), Pu at (0.1669, 0.3331, 0.1585), Ga at (0.1230, 0.3770, 0.5000) and Ge at (0.0000, 0.0000, 0.2500).

Its density of states at the Fermi level is 135.7 states/eV per cell. The formation energy comes out at -215 meV/atom.


Result set for electronic total energy: -1.08; -3.54; -3.92; -4.78; -2.44; -6.62; -4.47; -4.52; -2.23; -0.82; -1.12; -3.78; -7.78; -5.20; -5.24; -5.09; -7.14; -4.96; -6.07; -10.51 eV per atom, one per record in the order listed.